1.
ThSb5 after structural relaxation. Source: Alexandria, functional PBE-GGA.

Cell: 4.5394 4.4938 8.6933 Å, 104.98 90.00 90.00°
Last column: nearest neighbours and their distance in Å.
Positions (direct):
Sb 0.0000 0.6574 0.3147  6 Sb 3.19-3.48, 2 Th 3.47
Sb 0.0000 0.3426 0.6853  6 Sb 3.19-3.48, 2 Th 3.47
Sb 0.5000 0.5000 0.0000  4 Th 3.19, 8 Sb 3.43-3.48
Sb 0.5000 0.1547 0.3093  6 Sb 3.19-3.43, 2 Th 3.45
Sb 0.5000 0.8453 0.6907  6 Sb 3.19-3.43, 2 Th 3.45
Th 0.0000 0.0000 0.0000  12 Sb 3.19-3.47

Results
Formation energy from raw total energies, eV/atom: -0.249

2.
CrCdFe2 after structural relaxation. Source: Alexandria, functional PBE-GGA.

Cell: 4.7279 4.7279 4.6472 Å, 75.11 75.11 34.58°
Last column: nearest neighbours and their distance in Å.
Positions (direct):
Cd 0.4957 0.4957 0.5124  7 Fe 2.71-2.78, 2 Cd 2.81, 3 Cr 2.81-2.87
Cr 0.2688 0.2688 0.1993  5 Fe 2.50-2.75
Fe 0.0065 0.0065 0.0059  2 Fe 2.44, 2 Cr 2.52, 4 Cd 2.71-2.72
Fe 0.7290 0.7290 0.7824  2 Fe 2.44, 2 Cr 2.50, 1 Cd 2.73

3.
La2InW after structural relaxation. Source: Alexandria, functional PBE-GGA.

Cell: 10.2832 10.2832 10.2832 Å, 19.53 19.53 19.53°
Last column: nearest neighbours and their distance in Å.
Positions (direct):
In 0.7622 0.7622 0.7622  3 W 2.87
La 0.0052 0.0052 0.0052  3 In 3.40, 9 La 3.49-3.70
La 0.2360 0.2360 0.2360  3 W 2.98
W 0.4966 0.4966 0.4966  3 In 2.87, 3 La 2.98

4.
ScHBr2 after structural relaxation. Source: Alexandria, functional PBE-GGA.

Cell: 9.9140 9.9140 7.2767 Å, 47.06 47.06 90.00°
Last column: nearest neighbours and their distance in Å.
Positions (direct):
Sc 0.0000 0.0000 0.0000  2 H 1.95
Sc 0.7500 0.2500 0.5000  2 H 1.95
H 0.5000 0.5000 0.0000  2 Sc 1.95
H 0.2500 0.7500 0.5000  2 Sc 1.95
Br 0.7925 0.1250 0.2500  2 Sc 2.66
Br 0.9575 0.6250 0.2500  2 Sc 2.66
Br 0.3750 0.2075 0.7500  2 Sc 2.66
Br 0.8750 0.0425 0.7500  2 Sc 2.66

5.
Zn2CuW after structural relaxation. Source: Alexandria, functional PBE-GGA.

Cell: 4.7479 4.7479 4.7479 Å, 132.60 132.60 69.28°
Last column: nearest neighbours and their distance in Å.
Positions (direct):
Cu 0.5000 0.5000 0.0000  8 Zn 2.70-2.73, 4 W 2.73
W 0.7500 0.2500 0.5000  8 Zn 2.70-2.73, 4 Cu 2.73
Zn 0.0000 0.0000 0.0000  4 Cu 2.70, 4 W 2.73, 4 Zn 2.73
Zn 0.2500 0.7500 0.5000  4 W 2.70, 4 Cu 2.73, 4 Zn 2.73

6.
La2Hg2Se after structural relaxation. Source: Alexandria, functional PBE-GGA.

Cell: 7.9851 7.9851 4.9578 Å, 90.00 90.00 90.00°
Last column: nearest neighbours and their distance in Å.
Positions (direct):
Hg 0.1348 0.6348 0.5000  1 Hg 3.04, 2 La 3.33
Hg 0.6348 0.8652 0.5000  1 Hg 3.04, 2 La 3.33
Hg 0.8652 0.3652 0.5000  1 Hg 3.04, 2 La 3.33
Hg 0.3652 0.1348 0.5000  1 Hg 3.04, 2 La 3.33
Se 0.0000 0.0000 0.0000  4 La 2.97
Se 0.5000 0.5000 0.0000  4 La 2.97
La 0.3311 0.8311 0.0000  2 Se 2.97
La 0.8311 0.6689 0.0000  2 Se 2.97
La 0.6689 0.1689 0.0000  2 Se 2.97
La 0.1689 0.3311 0.0000  2 Se 2.97

Results
Formation energy from raw total energies, eV/atom: -0.834

7.
NaPr2Ho after structural relaxation. Source: Alexandria, functional PBE-GGA.

Cell: 3.7717 5.9985 5.9985 Å, 90.00 90.00 90.00°
Last column: nearest neighbours and their distance in Å.
Positions (direct):
Pr 0.0000 0.0000 0.5000  4 Na 3.54, 4 Ho 3.54, 2 Pr 3.77
Pr 0.0000 0.5000 0.0000  4 Na 3.54, 4 Ho 3.54, 2 Pr 3.77
Na 0.5000 0.5000 0.5000  8 Pr 3.54, 2 Na 3.77
Ho 0.5000 0.0000 0.0000  8 Pr 3.54, 2 Ho 3.77

8.
Dy3InSn2 after structural relaxation. Source: Alexandria, functional PBE-GGA.

Cell: 4.6197 11.5867 12.4142 Å, 90.00 90.00 90.00°
Last column: nearest neighbours and their distance in Å.
Positions (direct):
Dy 0.2500 0.3776 0.0368  5 Sn 3.11-3.28, 1 In 3.12
Dy 0.7500 0.6224 0.9632  5 Sn 3.11-3.28, 1 In 3.12
Dy 0.7500 0.8776 0.4632  5 Sn 3.11-3.28, 1 In 3.12
Dy 0.2500 0.1224 0.5368  5 Sn 3.11-3.28, 1 In 3.12
Dy 0.2500 0.6852 0.2040  1 Sn 3.03, 2 In 3.06
Dy 0.7500 0.3148 0.7960  1 Sn 3.03, 2 In 3.06
Dy 0.7500 0.1852 0.2960  1 Sn 3.03, 2 In 3.06
Dy 0.2500 0.8148 0.7040  1 Sn 3.03, 2 In 3.06
Dy 0.2500 0.4228 0.3609  5 Sn 3.15-3.41, 2 In 3.36
Dy 0.7500 0.5772 0.6391  5 Sn 3.15-3.41, 2 In 3.36
Dy 0.7500 0.9228 0.1391  5 Sn 3.15-3.41, 2 In 3.36
Dy 0.2500 0.0772 0.8609  5 Sn 3.15-3.41, 2 In 3.36
In 0.2500 0.1332 0.1415  3 Sn 2.91, 3 Dy 3.06-3.12
In 0.7500 0.8668 0.8585  3 Sn 2.91, 3 Dy 3.06-3.12
In 0.7500 0.6332 0.3585  3 Sn 2.91, 3 Dy 3.06-3.12
In 0.2500 0.3668 0.6415  3 Sn 2.91, 3 Dy 3.06-3.12
Sn 0.2500 0.6794 0.4947  2 In 2.91, 3 Dy 3.03-3.15
Sn 0.7500 0.3206 0.5053  2 In 2.91, 3 Dy 3.03-3.15
Sn 0.7500 0.1794 0.0053  2 In 2.91, 3 Dy 3.03-3.15
Sn 0.2500 0.8206 0.9947  2 In 2.91, 3 Dy 3.03-3.15
Sn 0.2500 0.9691 0.3193  1 In 2.91, 5 Dy 3.11-3.26
Sn 0.7500 0.0309 0.6807  1 In 2.91, 5 Dy 3.11-3.26
Sn 0.7500 0.4691 0.1807  1 In 2.91, 5 Dy 3.11-3.26
Sn 0.2500 0.5309 0.8193  1 In 2.91, 5 Dy 3.11-3.26

9.
RbPmGeSe3 after structural relaxation. Source: Alexandria, functional PBE-GGA.

Cell: 4.1437 8.9605 11.4498 Å, 109.15 90.00 90.00°
Last column: nearest neighbours and their distance in Å.
Positions (direct):
Rb 0.2500 0.2419 0.2834  7 Se 3.50-3.81, 1 Ge 3.66
Rb 0.7500 0.7581 0.7166  7 Se 3.50-3.81, 1 Ge 3.66
Pm 0.2500 0.6429 0.1554  6 Se 2.92-2.98
Pm 0.7500 0.3571 0.8446  6 Se 2.92-2.98
Ge 0.2500 0.1258 0.5617  3 Se 2.48-2.68
Ge 0.7500 0.8742 0.4383  3 Se 2.48-2.68
Se 0.7500 0.8960 0.2275  1 Ge 2.48
Se 0.2500 0.1040 0.7725  1 Ge 2.48
Se 0.2500 0.6785 0.4233  2 Ge 2.68, 1 Pm 2.98
Se 0.7500 0.3215 0.5767  2 Ge 2.68, 1 Pm 2.98
Se 0.7500 0.4013 0.1086  3 Pm 2.92
Se 0.2500 0.5987 0.8914  3 Pm 2.92

Results
Formation energy from raw total energies, eV/atom: -1.235

10.
SrMoOs2 after structural relaxation. Source: Alexandria, functional PBE-GGA.

Cell: 2.8257 2.8257 9.2417 Å, 90.00 90.00 90.00°
Last column: nearest neighbours and their distance in Å.
Positions (direct):
Mo 0.5000 0.5000 0.7934  4 Mo 2.83, 4 Os 2.91
Os 0.0000 0.0000 0.0219  8 Os 2.60-2.83, 4 Mo 2.91
Os 0.5000 0.5000 0.2022  8 Os 2.60-2.83
Sr 0.0000 0.0000 0.4825  4 Sr 2.83

11.
La2Cd6Au3 after structural relaxation. Source: Alexandria, functional PBE-GGA.

Cell: 4.4214 8.4338 8.4338 Å, 120.00 90.00 90.00°
Last column: nearest neighbours and their distance in Å.
Positions (direct):
La 0.0000 0.6667 0.3333  6 Au 3.39, 3 Cd 3.51
La 0.0000 0.3333 0.6667  6 Au 3.39, 3 Cd 3.51
Cd 0.5000 0.7264 0.7264  3 Au 2.72-3.01, 4 Cd 3.03
Cd 0.5000 0.0000 0.2736  3 Au 2.72-3.01, 4 Cd 3.03
Cd 0.0000 0.2003 0.2003  2 Au 2.80, 6 Cd 2.93-3.03
Cd 0.0000 0.7997 0.0000  2 Au 2.80, 6 Cd 2.93-3.03
Cd 0.5000 0.2736 0.0000  3 Au 2.72-3.01, 4 Cd 3.03
Cd 0.0000 0.0000 0.7997  2 Au 2.80, 6 Cd 2.93-3.03
Au 0.5000 0.4033 0.4033  5 Cd 2.72-3.01
Au 0.5000 0.5967 0.0000  5 Cd 2.72-3.01
Au 0.5000 0.0000 0.5967  5 Cd 2.72-3.01

12.
AlRe2Hg after structural relaxation. Source: Alexandria, functional PBE-GGA.

Cell: 2.8611 4.0264 5.8549 Å, 90.00 90.00 90.00°
Last column: nearest neighbours and their distance in Å.
Positions (direct):
Re 0.0000 0.0000 0.0494  1 Re 2.35
Re 0.0000 0.0000 0.4506  1 Re 2.35
Hg 0.5000 0.5000 0.7500  2 Hg 2.86, 2 Al 2.93, 8 Re 3.03
Al 0.5000 0.5000 0.2500  8 Re 2.73, 2 Al 2.86, 2 Hg 2.93

no.,E (eV per atom)
1,-4.9205
2,-6.4771
3,-5.8251
4,-4.3859
5,-4.4795
6,-3.6224
7,-3.6808
8,-4.6471
9,-4.7002
10,-8.0654
11,-2.6724
12,-6.7405